No. 1
Computed, not measured: a relaxed Lu3Al5O12 crystal at the PBE-GGA level of DFT.

Values from the calculation:
- final energy (eV/atom) = -7.891
- volume (Å³/cell) = 832.0
- crystal system = cubic
- SG = No. 230

Structure (extended XYZ):
```
80
Lattice="-5.925 5.925 5.925 5.925 -5.925 5.925 5.925 5.925 -5.925" Properties=species:S:1:pos:R:3 pbc="T T T"
Lu 2.962 1.481 0.000
Lu 5.925 2.962 -1.481
Lu 1.481 0.000 2.962
Lu 7.406 0.000 2.962
Lu 0.000 2.962 1.481
Lu 2.962 -1.481 5.925
Lu 2.962 7.406 0.000
Lu 5.925 2.962 4.444
Lu -1.481 5.925 2.962
Lu 4.444 5.925 2.962
Lu 0.000 2.962 7.406
Lu 2.962 4.444 5.925
Al 0.000 0.000 0.000
Al 2.962 2.962 -2.962
Al 2.962 -2.962 2.962
Al 5.925 0.000 0.000
Al 8.887 1.481 0.000
Al 5.925 -2.962 4.444
Al 4.444 5.925 -2.962
Al 4.444 0.000 2.962
Al 2.962 4.444 0.000
Al 5.925 2.962 1.481
Al -2.962 2.962 2.962
Al 0.000 5.925 0.000
Al 0.000 0.000 5.925
Al 2.962 2.962 2.962
Al 0.000 2.962 4.444
Al 2.962 1.481 5.925
Al 1.481 5.925 2.962
Al 1.481 0.000 8.887
Al 0.000 8.887 1.481
Al -2.962 4.444 5.925
O 1.773 -0.348 0.637
O 7.114 3.599 -3.310
O 7.698 0.348 0.637
O 7.114 -2.326 3.310
O 5.577 -0.637 1.773
O 9.235 -1.189 2.326
O 0.637 1.773 -0.348
O 8.251 2.615 -1.189
O 3.599 3.310 -1.189
O 5.288 1.773 0.348
O -0.348 0.637 1.773
O 3.310 -1.189 3.599
O 5.577 5.288 -1.773
O 3.310 1.189 2.326
O 3.599 -3.310 7.114
O 5.288 -1.773 5.577
O 2.326 3.310 1.189
O 6.562 4.152 0.348
O 3.310 7.114 -2.326
O 5.577 0.637 4.152
O 1.773 5.577 -0.637
O 7.114 2.326 2.615
O 1.189 2.326 3.310
O 1.773 0.348 5.288
O 4.152 5.577 0.637
O 4.736 3.599 2.615
O -1.189 3.599 3.310
O 4.152 0.348 6.562
O 0.348 5.288 1.773
O 2.615 -1.189 8.251
O -0.637 1.773 5.577
O 3.599 2.615 4.736
O 0.637 7.698 0.348
O 2.326 9.235 -1.189
O 2.615 4.736 3.599
O 0.348 0.637 7.698
O 2.615 7.114 2.326
O 6.273 5.288 4.152
O 0.637 4.152 5.577
O 2.326 2.615 7.114
O -2.326 3.310 7.114
O 5.288 4.152 6.273
O -3.310 7.114 3.599
O 0.348 6.562 4.152
O -1.189 8.251 2.615
O -1.773 5.577 5.288
O -1.189 2.326 9.235
O 4.152 6.273 5.288
```

No. 2
Computed, not measured: a relaxed LuAlPO crystal at the PBE-GGA level of DFT.

Values from the calculation:
- volume (Å³/cell) = 149.5
- offset from the most stable computed form (meV/atom) = 645.9
- crystal system = tetragonal
- SG = No. 129

Structure (extended XYZ):
```
8
Lattice="4.039 0.000 0.000 0.000 4.039 0.000 0.000 0.000 9.169" Properties=species:S:1:pos:R:3 pbc="T T T"
Lu 1.010 3.029 0.000
Lu 3.029 1.010 0.000
Al 1.010 1.010 4.063
Al 3.029 3.029 5.105
P 1.010 1.010 1.748
P 3.029 3.029 7.421
O 1.010 3.029 4.584
O 3.029 1.010 4.584
```

No. 3
Computed, not measured: a relaxed LuAlPO crystal at the PBE-GGA level of DFT.

Values from the calculation:
- volume (Å³/cell) = 127.0
- offset from the most stable computed form (meV/atom) = 0.0
- crystal system = tetragonal
- SG = No. 129

Structure (extended XYZ):
```
8
Lattice="3.912 0.000 0.000 0.000 3.912 0.000 0.000 0.000 8.303" Properties=species:S:1:pos:R:3 pbc="T T T"
Lu 0.978 0.978 0.999
Lu 2.934 2.934 7.304
Al 0.978 2.934 4.152
Al 2.934 0.978 4.152
P 0.978 0.978 5.591
P 2.934 2.934 2.712
O 0.978 2.934 0.000
O 2.934 0.978 0.000
```

No. 4
Computed, not measured: a relaxed LuAlOs crystal at the PBE-GGA level of DFT.

Values from the calculation:
- final energy (eV/atom) = -5.784
- volume (Å³/cell) = 66.1
- crystal system = cubic
- SG = No. 216

Structure (extended XYZ):
```
3
Lattice="0.000 3.209 3.209 3.209 0.000 3.209 3.209 3.209 0.000" Properties=species:S:1:pos:R:3 pbc="T T T"
Lu 0.000 0.000 0.000
Al 4.814 4.814 4.814
Os 1.605 1.605 1.605
```

No. 5
Computed, not measured: a relaxed Lu2AlOs3 crystal at the PBE-GGA level of DFT.

Values from the calculation:
- final energy (eV/atom) = -8.202
- volume (Å³/cell) = 210.7
- crystal system = hexagonal
- SG = No. 194

Structure (extended XYZ):
```
12
Lattice="5.364 0.000 0.000 -2.682 4.645 0.000 0.000 0.000 8.456" Properties=species:S:1:pos:R:3 pbc="T T T"
Lu 0.000 3.097 0.568
Lu 0.000 3.097 3.660
Lu 2.682 1.548 4.796
Lu 2.682 1.548 7.888
Al 0.000 0.000 0.000
Al 0.000 0.000 4.228
Os 0.000 1.592 6.342
Os -1.303 3.849 6.342
Os 1.379 0.796 2.114
Os 1.303 3.849 6.342
Os 3.985 0.796 2.114
Os 2.682 3.053 2.114
```

No. 6
Computed, not measured: a relaxed Lu3AlP crystal at the PBE-GGA level of DFT.

Values from the calculation:
- final energy (eV/atom) = -5.063
- volume (Å³/cell) = 130.8
- crystal system = cubic
- SG = No. 221

Structure (extended XYZ):
```
5
Lattice="5.077 0.000 0.000 0.000 5.077 0.000 0.000 0.000 5.077" Properties=species:S:1:pos:R:3 pbc="T T T"
Lu 0.000 0.000 2.538
Lu 0.000 2.538 0.000
Lu 2.538 0.000 0.000
Al 2.538 2.538 2.538
P 0.000 0.000 0.000
```